The following is a DFT calculation (meta-GGA SCAN) of a PBEsol-optimized structure of ReRh2.

Lattice parameters (Å, degrees): 9.8983 2.7019 6.3722 90.00 104.20 90.00
Last column: nearest neighbours and their distance in Å.
Space group Cm (No. 8)
Asymmetric unit:
Re: 0.0000 0.0000 0.0000  8 Rh 2.65-2.71, 4 Re 2.70-2.73
Re: 0.1696 0.5000 0.3357  8 Rh 2.63-2.72, 4 Re 2.70-2.73
Rh: 0.0594 0.0000 0.6102  3 Re 2.65-2.69, 9 Rh 2.67-2.71
Rh: 0.2203 0.5000 0.9492  4 Re 2.63-2.71, 8 Rh 2.69-2.72
Rh: 0.3359 0.0000 0.6728  8 Rh 2.67-2.70, 4 Re 2.67-2.72
Rh: 0.3928 0.0000 0.2798  5 Re 2.66-2.69, 7 Rh 2.70-2.72

M_tot ... 0.00 μB per cell
E_tot ... -46.316 eV/atom
E_form ... -102 meV per atom
DOS at the Fermi energy ... 2.68 states/eV/f.u.
E above lowest polymorph ... 91 meV/atom